Material: Th
Method: DFT, PBE
State: optimized geometry

Unit cell a=3.519 b=5.926 c=7.017 alpha=65.03 beta=90.00 gamma=90.00
Element x y z (fractional)
Th1 0.501 0.869 0.263
Th2 0.999 0.369 0.263
Th3 0.001 0.631 0.737
Th4 0.499 0.131 0.737

The space group is No. 64. For the formation energy, the calculation gives 0.25 eV/atom.